1.
A relaxed Cd2PbS2 crystal. Source: Alexandria, functional GGA-PBE.

abc: 7.255 7.255 7.255
angles: 144.69 144.69 50.80
Positions (direct):
Cd 0.250 0.750 0.500
Cd 0.750 0.250 0.500
Pb 0.000 0.000 0.000
S 0.369 0.369 0.000
S 0.631 0.631 0.000

DOS at the Fermi energy	0.51	states/eV per atom
magnetic moment	0.00	μB per formula unit
space group	I4/mmm
excess energy over the best structure of this formula in the dataset	0.113	eV per atom

2.
A relaxed Rb2Dy2TiS6 crystal. Source: Alexandria, functional GGA-PBE.

abc: 6.687 6.687 8.182
angles: 98.27 98.27 119.46
Positions (direct):
Rb 0.171 0.829 0.000
Rb 0.829 0.171 0.000
Dy 0.333 0.667 0.500
Dy 0.667 0.333 0.500
Ti 0.000 0.000 0.500
S 0.064 0.370 0.683
S 0.241 0.241 0.319
S 0.370 0.064 0.683
S 0.630 0.936 0.317
S 0.759 0.759 0.681
S 0.936 0.630 0.317

magnetic moment	0.00	μB per formula unit
space group	C2/m

Number 1: formation energy without anion corrections -0.03 eV per atom. Number 2: formation energy without anion corrections -1.68 eV per atom.